{
  "formula": "P2Ir",
  "functional": "PBE",
  "state": "optimized geometry",
  "cell": [[-2.8821, -3.0825, -0.9099], [4.1972, -0.9770, 0.2560], [-0.2836, -0.5208, 2.6625]],
  "species": ["P", "P", "Ir"],
  "fractional_positions": [[0.6667, 0.3333, 0.0039], [0.3333, 0.6667, 0.9961], [0.0000, 0.0000, 0.0000]],
  "e_form_ev_per_fu": 0.293
}